#A
DFT (PBE) results for a geometry-optimized ZrCd2Ru structure.

```
ZrCd2Ru
1.0
-0.997 -2.834 2.078
-1.022 -1.833 -2.990
5.308 -2.206 -0.462
Zr Cd Ru
1 2 1
direct
0.500 0.500 0.750
0.000 0.000 0.485
0.000 0.000 0.015
0.500 0.500 0.250
```

Calculated values
As for the space group: P4/mmm (123). The density of states at the Fermi level is 0.71 states/eV/atom.

=====

#B
DFT (PBE) results for a geometry-optimized ZrCd2Ru structure.

```
ZrCd2Ru
1.0
-3.399 8.687 4.010
-2.955 7.180 6.543
-0.697 8.652 5.268
Cd Zr Ru
2 1 1
direct
0.507 0.507 0.507
0.993 0.993 0.993
0.750 0.750 0.750
0.250 0.250 0.250
```

Calculated values
As for the space group: R-3m (166). The density of states at the Fermi level is 1.00 states/eV/atom.

=====

Relative energies with respect to the most stable structure, expressed in eV/atom: #A 0.000; #B 0.083.

=====

#A
DFT (PBE) results for a geometry-optimized ZrCd2Ru structure.

```
ZrCd2Ru
1.0
4.901 0.000 0.000
0.000 3.012 0.015
0.000 1.499 5.214
Cd Zr Ru
2 1 1
direct
0.000 0.091 0.016
0.000 0.409 0.484
0.500 0.750 0.750
0.500 0.250 0.250
```

Calculated values
As for the space group: P2/m (10). The density of states at the Fermi level is 0.65 states/eV/atom.

=====

#B
DFT (PBE) results for a geometry-optimized ZrCd2Ru structure.

```
ZrCd2Ru
1.0
0.000 3.354 3.354
3.354 0.000 3.354
3.354 3.354 0.000
Cd Zr Ru
2 1 1
direct
0.750 0.750 0.750
0.250 0.250 0.250
0.000 0.000 0.000
0.500 0.500 0.500
```

Calculated values
As for the space group: Fm-3m (225). The density of states at the Fermi level is 1.25 states/eV/atom.

=====

Relative energies with respect to the most stable structure, expressed in eV/atom: #A 0.000; #B 0.098.

=====

#A
DFT (PBE) results for a geometry-optimized CdSb2S structure.

```
CdSb2S
1.0
-3.186 3.481 1.946
-1.188 4.165 -2.701
-4.692 0.532 -1.939
Sb Cd S
2 1 1
direct
0.750 0.750 0.750
0.250 0.250 0.250
0.500 0.500 0.500
0.000 0.000 0.000
```

Calculated values
As for the space group: Fm-3m (225). The density of states at the Fermi level is 0.74 states/eV/atom.

=====

#B
DFT (PBE) results for a geometry-optimized CdSb2S structure.

```
CdSb2S
1.0
-3.893 -1.092 2.712
2.812 -2.633 2.977
1.031 5.903 8.229
Sb S Cd
4 2 2
direct
0.556 0.125 0.250
0.375 0.444 0.750
0.875 0.806 0.750
0.194 0.625 0.250
0.500 0.500 0.000
0.250 0.750 0.500
0.000 0.000 0.000
0.750 0.250 0.500
```

Calculated values
As for the space group: I-42d (122). The density of states at the Fermi level is 0.37 states/eV/atom.

=====

Relative energies with respect to the most stable structure, expressed in eV/atom: #A 0.133; #B 0.000.

=====

#A
DFT (PBE) results for a geometry-optimized CdSb2S4 structure.

```
CdSb2S4
1.0
8.638 -0.681 0.000
-4.825 7.197 0.000
0.000 0.000 8.236
S Sb Cd
8 4 2
direct
0.686 0.494 0.500
0.506 0.314 0.000
0.494 0.686 0.000
0.500 0.000 0.714
0.314 0.506 0.500
0.500 0.000 0.286
0.000 0.500 0.214
0.000 0.500 0.786
0.258 0.753 0.500
0.753 0.258 0.000
0.247 0.742 0.000
0.742 0.247 0.500
0.500 0.500 0.250
0.500 0.500 0.750
```

Calculated values
As for the space group: Cccm (66). The density of states at the Fermi level is 0.00 states/eV/atom.

=====

#B
DFT (PBE) results for a geometry-optimized CdSb2S4 structure.

```
CdSb2S4
1.0
3.830 0.000 0.773
1.536 8.555 2.264
-0.374 -0.433 11.730
S Sb Cd
8 4 2
direct
0.089 0.052 0.770
0.785 0.844 0.586
0.412 0.447 0.730
0.285 0.345 0.086
0.715 0.655 0.914
0.911 0.948 0.230
0.588 0.553 0.270
0.215 0.156 0.414
0.131 0.620 0.119
0.631 0.119 0.619
0.869 0.380 0.881
0.369 0.881 0.381
0.750 0.250 0.250
0.250 0.750 0.750
```

Calculated values
As for the space group: C2/m (12).

=====

Relative energies with respect to the most stable structure, expressed in eV/atom: #A 0.141; #B 0.000.

=====

#A
DFT (PBE) results for a geometry-optimized Cd3SbS structure.

```
Cd3SbS
1.0
-0.548 3.374 3.826
2.581 -3.136 3.135
4.400 2.260 -1.362
Cd Sb S
3 1 1
direct
0.000 0.500 0.000
0.500 0.000 0.000
0.000 0.000 0.500
0.500 0.500 0.500
0.000 0.000 0.000
```

Calculated values
As for the space group: Pm-3m (221). The density of states at the Fermi level is 0.70 states/eV/atom.

=====

#B
DFT (PBE) results for a geometry-optimized Cd3SbS structure.

```
Cd3SbS
1.0
5.474 0.000 0.000
0.000 5.474 0.000
0.000 0.000 5.474
Cd S Sb
3 1 1
direct
0.500 0.000 0.000
0.000 0.500 0.000
0.000 0.000 0.500
0.500 0.500 0.500
0.000 0.000 0.000
```

Calculated values
As for the space group: Pm-3m (221). The density of states at the Fermi level is 0.47 states/eV/atom.

=====

Relative energies with respect to the most stable structure, expressed in eV/atom: #A 0.000; #B 0.200.

=====

#A
DFT (PBE) results for a geometry-optimized CdSb2TeS structure.

```
CdSb2TeS
1.0
5.548 0.000 0.000
0.000 5.548 0.000
0.000 0.000 5.394
S Cd Te Sb
1 1 1 2
direct
0.500 0.500 0.500
0.000 0.000 0.000
0.000 0.000 0.500
0.000 0.500 0.000
0.500 0.000 0.000
```

Calculated values
As for the space group: P4/mmm (123). The density of states at the Fermi level is 1.55 states/eV/atom.

=====

#B
DFT (PBE) results for a geometry-optimized CdSb2TeS structure.

```
CdSb2TeS
1.0
5.267 0.000 0.000
0.000 5.267 0.000
0.000 0.000 5.297
S Cd Sb Te
1 1 2 1
direct
0.000 0.000 0.000
0.500 0.500 0.500
0.500 0.000 0.000
0.000 0.500 0.000
0.000 0.000 0.500
```

Calculated values
As for the space group: P4/mmm (123). The density of states at the Fermi level is 1.12 states/eV/atom.

=====

Relative energies with respect to the most stable structure, expressed in eV/atom: #A 0.494; #B 0.000.

=====

#A
DFT (PBE) results for a geometry-optimized Sc2CdS structure.

```
Sc2CdS
1.0
7.346 0.000 0.000
0.000 7.346 0.000
3.673 3.673 3.295
Sc Cd S
4 2 2
direct
0.578 0.125 0.250
0.172 0.625 0.250
0.375 0.422 0.750
0.875 0.828 0.750
0.750 0.250 0.500
0.000 0.000 0.000
0.250 0.750 0.500
0.500 0.500 0.000
```

Calculated values
As for the space group: I-42d (122). The density of states at the Fermi level is 1.06 states/eV/atom.

=====

#B
DFT (PBE) results for a geometry-optimized Sc2CdS structure.

```
Sc2CdS
1.0
2.110 0.000 9.045
-1.055 1.828 9.045
-1.055 -1.828 9.045
Sc Cd S
2 1 1
direct
0.086 0.086 0.086
0.914 0.914 0.914
0.500 0.500 0.500
0.000 0.000 0.000
```

Calculated values
As for the space group: R-3m (166). The density of states at the Fermi level is 0.93 states/eV/atom.

=====

Relative energies with respect to the most stable structure, expressed in eV/atom: #A 0.000; #B 0.331.

=====

#A
DFT (PBE) results for a geometry-optimized Sc2CdS structure.

```
Sc2CdS
1.0
3.540 0.000 0.000
1.770 3.066 0.000
1.770 1.022 7.755
Sc S Cd
2 1 1
direct
0.269 0.269 0.194
0.064 0.064 0.807
0.668 0.668 0.997
0.499 0.499 0.502
```

Calculated values
As for the space group: R3m (160). The density of states at the Fermi level is 1.03 states/eV/atom.

=====

#B
DFT (PBE) results for a geometry-optimized Sc2CdS structure.

```
Sc2CdS
1.0
0.000 3.422 3.422
3.422 0.000 3.422
3.422 3.422 0.000
S Cd Sc
1 1 2
direct
0.000 0.000 0.000
0.500 0.500 0.500
0.250 0.250 0.250
0.750 0.750 0.750
```

Calculated values
As for the space group: Fm-3m (225). The density of states at the Fermi level is 0.95 states/eV/atom.

=====

Relative energies with respect to the most stable structure, expressed in eV/atom: #A 0.000; #B 0.551.

=====

#A
DFT (PBE) results for a geometry-optimized ScCdS3 structure.

```
ScCdS3
1.0
4.877 0.000 0.000
0.000 4.877 0.000
0.000 0.000 4.877
Cd S Sc
1 3 1
direct
0.000 0.000 0.000
0.500 0.000 0.000
0.000 0.000 0.500
0.000 0.500 0.000
0.500 0.500 0.500
```

Calculated values
As for the space group: Pm-3m (221). The density of states at the Fermi level is 0.33 states/eV/atom.

=====

#B
DFT (PBE) results for a geometry-optimized ScCdS3 structure.

```
ScCdS3
1.0
4.913 0.000 0.000
0.000 4.913 0.000
0.000 0.000 4.913
Sc Cd S
1 1 3
direct
0.000 0.000 0.000
0.500 0.500 0.500
0.000 0.000 0.500
0.500 0.000 0.000
0.000 0.500 0.000
```

Calculated values
As for the space group: Pm-3m (221). The density of states at the Fermi level is 0.61 states/eV/atom.

=====

Relative energies with respect to the most stable structure, expressed in eV/atom: #A 0.512; #B 0.000.

=====

#A
DFT (PBE) results for a geometry-optimized CdSeS2 structure.

```
CdSeS2
1.0
2.046 0.000 9.114
-1.023 1.772 9.114
-1.023 -1.772 9.114
Se S Cd
1 2 1
direct
0.500 0.500 0.500
0.888 0.888 0.888
0.112 0.112 0.112
0.000 0.000 0.000
```

Calculated values
As for the space group: R-3m (166). The density of states at the Fermi level is 0.31 states/eV/atom.

=====

#B
DFT (PBE) results for a geometry-optimized CdSeS2 structure.

```
CdSeS2
1.0
0.000 3.363 3.363
3.363 0.000 3.363
3.363 3.363 0.000
S Se Cd
2 1 1
direct
0.250 0.250 0.250
0.750 0.750 0.750
0.000 0.000 0.000
0.500 0.500 0.500
```

Calculated values
As for the space group: Fm-3m (225). The density of states at the Fermi level is 0.67 states/eV/atom.

=====

#C
DFT (PBE) results for a geometry-optimized CdSeS2 structure.

```
CdSeS2
1.0
-5.920 -3.716 3.890
-5.645 -5.640 0.563
-3.236 -6.446 3.459
S Cd Se
2 1 1
direct
0.102 0.102 0.102
0.898 0.898 0.898
0.500 0.500 0.500
0.000 0.000 0.000
```

Calculated values
As for the space group: R-3m (166). The density of states at the Fermi level is 0.64 states/eV/atom.

=====

Relative energies with respect to the most stable structure, expressed in eV/atom: #A 0.294; #B 0.474; #C 0.000.

=====

#A
DFT (PBE) results for a geometry-optimized CdSe3S structure.

```
CdSe3S
1.0
4.894 0.000 0.000
0.000 4.894 0.000
0.000 0.000 4.894
Se Cd S
3 1 1
direct
0.000 0.500 0.000
0.000 0.000 0.500
0.500 0.000 0.000
0.500 0.500 0.500
0.000 0.000 0.000
```

Calculated values
As for the space group: Pm-3m (221). The density of states at the Fermi level is 0.69 states/eV/atom.

=====

#B
DFT (PBE) results for a geometry-optimized CdSe3S structure.

```
CdSe3S
1.0
-2.953 2.803 -3.293
-4.085 -0.501 3.237
1.418 4.395 2.469
Cd Se S
1 3 1
direct
0.000 0.000 0.000
0.500 0.000 0.000
0.000 0.500 0.000
0.000 0.000 0.500
0.500 0.500 0.500
```

Calculated values
As for the space group: Pm-3m (221). The density of states at the Fermi level is 1.26 states/eV/atom.

=====

Relative energies with respect to the most stable structure, expressed in eV/atom: #A 0.000; #B 0.588.

=====

#A
DFT (PBE) results for a geometry-optimized CdSi2S2 structure.

```
CdSi2S2
1.0
8.644 0.000 0.000
0.000 8.644 0.000
0.000 0.000 3.184
Si S Cd
4 4 2
direct
0.233 0.733 0.500
0.267 0.233 0.500
0.767 0.267 0.500
0.733 0.767 0.500
0.643 0.143 0.000
0.357 0.857 0.000
0.857 0.643 0.000
0.143 0.357 0.000
0.000 0.000 0.000
0.500 0.500 0.000
```

Calculated values
As for the space group: P4/mbm (127). The density of states at the Fermi level is 0.00 states/eV/atom.

=====

#B
DFT (PBE) results for a geometry-optimized CdSi2S2 structure.

```
CdSi2S2
1.0
-4.440 0.393 1.180
-1.179 -2.720 -3.532
-2.369 -5.296 1.859
Si S Cd
2 2 1
direct
0.250 0.750 0.500
0.750 0.250 0.500
0.325 0.325 0.350
0.675 0.675 0.650
0.000 0.000 0.000
```

Calculated values
As for the space group: I4/mmm (139). The density of states at the Fermi level is 0.41 states/eV/atom.

=====

Relative energies with respect to the most stable structure, expressed in eV/atom: #A 0.000; #B 0.150.

=====

#A
DFT (PBE) results for a geometry-optimized CdSiS3 structure.

```
CdSiS3
1.0
6.372 0.000 0.000
3.186 5.518 0.000
3.186 1.839 7.109
S Cd Si
6 2 2
direct
0.419 0.744 0.739
0.256 0.902 0.261
0.744 0.098 0.739
0.902 0.581 0.261
0.581 0.256 0.261
0.098 0.419 0.739
0.167 0.167 0.498
0.833 0.833 0.502
0.574 0.574 0.279
0.426 0.426 0.721
```

Calculated values
As for the space group: R-3 (148). The density of states at the Fermi level is 0.07 states/eV/atom.

=====

#B
DFT (PBE) results for a geometry-optimized CdSiS3 structure.

```
CdSiS3
1.0
4.913 0.000 0.000
0.000 4.913 0.000
0.000 0.000 4.913
S Cd Si
3 1 1
direct
0.500 0.000 0.000
0.000 0.500 0.000
0.000 0.000 0.500
0.000 0.000 0.000
0.500 0.500 0.500
```

Calculated values
As for the space group: Pm-3m (221). The density of states at the Fermi level is 0.72 states/eV/atom.

=====

Relative energies with respect to the most stable structure, expressed in eV/atom: #A 0.000; #B 1.302.